Computed, not measured: crystalline LiNi2GeO4 at its relaxed geometry at the PBE with a Hubbard U level of DFT. Values from VASP.

The calculation puts the total magnetization at 6.0 μB/cell. As for the space group: No. 15. The calculation puts the final energy at -5.21 eV/atom.

Structure (Quantum ESPRESSO input):
```
&SYSTEM
  ibrav = 0, nat = 16, ntyp = 4
/
ATOMIC_SPECIES
O 16.00 O.upf
Ni 58.69 Ni.upf
Li 6.94 Li.upf
Ge 72.64 Ge.upf
CELL_PARAMETERS angstrom
-4.699 2.752 1.970
1.285 -1.575 5.422
4.266 3.153 -3.442
ATOMIC_POSITIONS angstrom
O 1.863 1.229 2.792
O -0.064 -0.496 4.632
O -0.636 0.548 1.831
O 1.087 1.599 0.159
Ni -2.349 1.376 0.985
Ni -0.217 2.953 -0.736
Li 0.643 -0.787 2.711
Ge -0.433 5.905 -1.472
Ni 2.133 1.577 -1.721
O -0.235 2.732 3.791
Ge 0.426 2.165 1.975
O 1.489 3.782 2.119
O -1.011 3.101 1.158
O 0.916 4.826 -0.682
Li -1.923 3.541 2.960
Ni -1.707 0.589 3.696
```